The following is a DFT calculation (GGA-PBE) of an optimized crystal structure of SrCo2Os.

Unit cell a=4.8173 b=4.8173 c=8.4474 alpha=73.43 beta=73.43 gamma=90.00
Fractional coordinates of all 8 atoms:
Sr: 0.5000 0.5000 0.0000
Sr: 0.2500 0.7500 0.5000
Os: 0.0000 0.0000 0.0000
Os: 0.7500 0.2500 0.5000
Co: 0.8746 0.1250 0.2500
Co: 0.8754 0.6250 0.2500
Co: 0.3750 0.1254 0.7500
Co: 0.8750 0.1246 0.7500

Summary:
For the energy of formation, the calculation gives 0.707 eV/atom. The calculation puts the volume at 179.4 Å³ per cell. The value obtained for the density of states at the Fermi level is 1.225 states/eV per atom. The total energy is -0.446 Ry/atom. The space group is I4_1/amd, No. 141. The value obtained for the distance to the lowest polymorph of the same formula is 470.3 meV per atom. The spin magnetization is 1.266 μB/f.u.